5
Lattice="4.795 0.000 0.000 0.000 4.795 0.000 0.000 0.000 4.652" Properties=species:S:1:pos:R:3 comment="TcAg2PdW (PBE, optimized geometry)" crystal_system=tetragonal sg="P4/mmm (123)" delta_e_f_ev_per_atom=2.129 pbc="T T T"
Tc 0.000 0.000 0.000
Ag 0.000 2.398 2.326
Ag 2.398 0.000 2.326
Pd 0.000 0.000 2.326
W 2.398 2.398 0.000

---

5
Lattice="4.165 0.000 0.000 0.000 4.165 0.000 0.000 0.000 4.165" Properties=species:S:1:pos:R:3 comment="BiAsH3 (PBE, optimized geometry)" crystal_system=cubic sg="Pm-3m (221)" relative_energy_mev_per_atom=231 pbc="T T T"
Bi 0.000 0.000 0.000
As 2.082 2.082 2.082
H 0.000 0.000 2.082
H 0.000 2.082 0.000
H 2.082 0.000 0.000

---

8
Lattice="-4.228 4.228 5.412 4.228 -4.228 5.412 4.228 4.228 -5.412" Properties=species:S:1:pos:R:3 comment="RbYTe2 (PBE, optimized geometry)" crystal_system=tetragonal sg="I-42d (122)" formation_energy_uncorrected_ev_per_atom=-1.191 pbc="T T T"
Rb 0.000 0.000 0.000
Rb 0.000 4.228 2.706
Y 4.228 0.000 2.706
Y 0.000 0.000 5.412
Te 2.114 -1.547 4.059
Te 2.681 2.114 1.353
Te 2.114 5.774 -1.353
Te 1.547 2.114 6.765

---

| no. | E_tot (eV/atom) | total moment (μB/atom) | DOS(E_F) (states/eV per cell) |
| --- | --- | --- | --- |
| 1 | -4.71 | 0.1968 | 8.90 |
| 2 | -2.81 | 0.3033 | 2.12 |
| 3 | -4.62 | 0.0000 | 0.00 |